1.
{
  "formula": "Mg3ZnCd4",
  "functional": "GGA-PBE",
  "state": "optimized geometry",
  "cell": [[3.1424, -3.1283, 0.0000], [3.1424, 3.1283, 0.0000], [-3.1121, 0.0000, 8.4939]],
  "species": ["Mg", "Mg", "Mg", "Zn", "Cd", "Cd", "Cd", "Cd"],
  "fractional_positions": [[0.0000, 0.0000, 0.0000], [0.2495, 0.2495, 0.4986], [0.7505, 0.7505, 0.5014], [0.5000, 0.5000, 0.0000], [0.1223, 0.6219, 0.2443], [0.3781, 0.8777, 0.7557], [0.6219, 0.1223, 0.2443], [0.8777, 0.3781, 0.7557]],
  "energy_ev_per_atom": -1.270,
  "magmom_total_mub_per_fu": 0.00,
  "space_group": "C2/m (12)"
}


2.
{
  "formula": "Mg2ZnCd",
  "functional": "GGA-PBE",
  "state": "optimized geometry",
  "cell": [[1.6088, 0.9288, 9.2870], [-1.6088, 0.9288, 9.2870], [0.0000, -1.8576, 9.2870]],
  "species": ["Mg", "Mg", "Zn", "Cd"],
  "fractional_positions": [[0.2423, 0.2423, 0.2423], [0.7577, 0.7577, 0.7577], [0.5000, 0.5000, 0.5000], [0.0000, 0.0000, 0.0000]],
  "energy_ev_per_atom": -1.359,
  "magmom_total_mub_per_fu": 0.00,
  "relative_energy_ev_per_fu": 0.293,
  "space_group": "R-3m (166)"
}


3.
{
  "formula": "Mg7Zn2Cd2",
  "functional": "GGA-PBE",
  "state": "optimized geometry",
  "cell": [[3.7347, -4.3122, 0.0000], [3.7347, 4.3122, 0.0000], [-1.6208, 0.0000, 7.1721]],
  "species": ["Mg", "Mg", "Mg", "Mg", "Mg", "Mg", "Mg", "Zn", "Zn", "Cd", "Cd"],
  "fractional_positions": [[0.0000, 0.0000, 0.0000], [0.0787, 0.4613, 0.7969], [0.1634, 0.1634, 0.4265], [0.4613, 0.0787, 0.7969], [0.5387, 0.9213, 0.2031], [0.8366, 0.8366, 0.5735], [0.9213, 0.5387, 0.2031], [0.3028, 0.6972, 0.5000], [0.6972, 0.3028, 0.5000], [0.3962, 0.3962, 0.1591], [0.6038, 0.6038, 0.8409]],
  "energy_ev_per_atom": -1.453,
  "magmom_total_mub_per_fu": 0.00,
  "relative_energy_ev_per_fu": 0.000,
  "space_group": "C2/m (12)"
}


4.
{
  "formula": "Mg5ZnCd",
  "functional": "GGA-PBE",
  "state": "optimized geometry",
  "cell": [[4.5258, 0.0000, 0.0000], [0.0000, 4.5258, 0.0000], [0.0000, 0.0000, 7.5934]],
  "species": ["Mg", "Mg", "Mg", "Mg", "Mg", "Zn", "Cd"],
  "fractional_positions": [[0.0000, 0.0000, 0.0000], [0.0000, 0.5000, 0.2898], [0.0000, 0.5000, 0.7102], [0.5000, 0.0000, 0.2898], [0.5000, 0.0000, 0.7102], [0.5000, 0.5000, 0.5000], [0.5000, 0.5000, 0.0000]],
  "energy_ev_per_atom": -1.469,
  "magmom_total_mub_per_fu": 0.00,
  "relative_energy_ev_per_fu": 0.000,
  "space_group": "P4/mmm (123)"
}